No. 1
A plane-wave DFT calculation with PBE was carried out for a geometry-optimized KSrFeSe2 structure.

a = 5.151 Å, b = 4.853 Å, c = 5.151 Å
α = 90.00°, β = 90.00°, γ = 90.00°
Each line ends with the local moment (μB).
Atoms (fractional coordinates):
Se (0.000, 0.000, 0.500)  0.04
Se (0.500, 0.000, 0.000)  0.06
K (0.000, 0.500, 0.000)  -0.02
Sr (0.500, 0.500, 0.500)  -0.01
Fe (0.000, 0.000, 0.000)  2.60

Output
Formation energy (no corrections), meV per atom: -339
Space group: P4/mmm, No. 123

---

No. 2
A plane-wave DFT calculation with PBE was carried out for a geometry-optimized K3Th3FeSe8 structure.

a = 8.406 Å, b = 8.406 Å, c = 9.258 Å
α = 117.00°, β = 90.00°, γ = 120.01°
Each line ends with the local moment (μB).
Atoms (fractional coordinates):
Fe (0.000, 0.000, 0.500)  3.19
Th (0.500, 0.000, 0.500)  -0.05
Th (0.500, 0.500, 0.500)  -0.05
Th (0.000, 0.500, 0.500)  -0.05
Se (0.744, 0.970, 0.696)  0.02
Se (0.256, 0.030, 0.304)  0.02
Se (0.226, 0.453, 0.696)  0.02
Se (0.739, 0.479, 0.718)  0.00
Se (0.261, 0.521, 0.282)  0.00
Se (0.226, 0.970, 0.696)  0.02
Se (0.774, 0.030, 0.304)  0.02
Se (0.774, 0.547, 0.304)  0.02
K (0.000, 0.500, 0.000)  0.00
K (0.000, 0.000, 0.000)  0.00
K (0.500, 0.500, 0.000)  0.00

Output
Formation energy (no corrections), meV per atom: -1355
Space group: R-3m, No. 166

---

No. 3
A plane-wave DFT calculation with PBE was carried out for a geometry-optimized K2UFeSe4 structure.

a = 7.135 Å, b = 7.135 Å, c = 7.135 Å
α = 96.82°, β = 116.15°, γ = 116.15°
Each line ends with the local moment (μB).
Atoms (fractional coordinates):
Fe (0.000, 0.500, 0.500)  3.34
U (0.500, 0.250, 0.750)  -2.13
K (0.000, 0.000, 0.000)  0.00
K (0.500, 0.750, 0.250)  0.00
Se (0.943, 0.560, 0.152)  0.11
Se (0.057, 0.209, 0.617)  0.11
Se (0.408, 0.848, 0.791)  0.11
Se (0.592, 0.383, 0.440)  0.11

Output
Formation energy (no corrections), meV per atom: -761
Space group: I-4, No. 82

---

No. 4
A plane-wave DFT calculation with PBE was carried out for a geometry-optimized K3U2FeSe6 structure.

a = 7.148 Å, b = 7.148 Å, c = 8.057 Å
α = 98.51°, β = 98.51°, γ = 119.99°
Each line ends with the local moment (μB).
Atoms (fractional coordinates):
Se (0.743, 0.743, 0.201)  -0.03
Se (0.933, 0.610, 0.800)  -0.03
Se (0.610, 0.933, 0.800)  -0.03
Se (0.067, 0.390, 0.200)  -0.03
Se (0.390, 0.067, 0.200)  -0.03
Se (0.257, 0.257, 0.799)  -0.03
U (0.333, 0.667, 0.000)  2.35
U (0.667, 0.333, 0.000)  2.35
K (0.168, 0.832, 0.500)  0.00
K (0.500, 0.500, 0.500)  0.00
K (0.832, 0.168, 0.500)  0.00
Fe (0.000, 0.000, 0.000)  3.16

Output
Formation energy (no corrections), meV per atom: -1019
Space group: C2/m, No. 12